A plane-wave DFT calculation with GGA+U was carried out for FeCuP2O8 after structural relaxation.

Summary:
E	-160.5	eV per cell
space-group type	No. 11

Lattice parameters (Å, degrees): 5.9655 5.0495 10.1843 84.01 90.00 90.00
With the nearest neighbours (Å) after each atom.
Fractional positions:
O 0.0384 0.7317 0.1568  1 P 1.55
O 0.7500 0.0856 0.5399  1 P 1.54
O 0.2500 0.6455 0.9478  1 P 1.54
O 0.9616 0.2683 0.8432  1 P 1.55
O 0.5572 0.2338 0.3213  1 P 1.59
O 0.4428 0.7662 0.6787  1 P 1.59
O 0.2500 0.2991 0.1365  1 P 1.57
O 0.2500 0.2338 0.6363  1 P 1.51
O 0.4616 0.7317 0.1568  1 P 1.55
O 0.2500 0.9144 0.4601  1 P 1.54
O 0.0572 0.7662 0.6787  1 P 1.59
O 0.7500 0.3545 0.0522  1 P 1.54
O 0.7500 0.7662 0.3637  1 P 1.51
O 0.7500 0.7009 0.8635  1 P 1.57
O 0.5384 0.2683 0.8432  1 P 1.55
O 0.9428 0.2338 0.3213  1 P 1.59
P 0.7500 0.0541 0.3909  4 O 1.51-1.59
P 0.7500 0.3906 0.9007  4 O 1.54-1.57
P 0.2500 0.6094 0.0993  4 O 1.54-1.57
P 0.2500 0.9459 0.6091  4 O 1.51-1.59
Fe 0.2500 0.4441 0.7927  4 O 1.97-2.00
Fe 0.7500 0.5559 0.2073  4 O 1.97-2.00
Cu 0.2500 0.1564 0.3095  4 O 1.83-1.88
Cu 0.7500 0.8436 0.6905  4 O 1.83-1.88